# Rb4InCl6 (PBE-GGA, relaxed)
# Mass density   2.9 g/cm3
# E_form (uncorrected)   -1635 meV per atom
# E_tot   -71.3 eV/cell
# Size of the total moment   0.5 μB per formula unit
data_Rb4InCl6
_symmetry_space_group_name_H-M 'P 1'
_symmetry_Int_Tables_number 1
_symmetry_space_group_name_Hall 'P 1'
_cell_length_a 9.0807
_cell_length_b 9.0807
_cell_length_c 9.3364
_cell_angle_alpha 90.00
_cell_angle_beta 90.00
_cell_angle_gamma 90.00
loop_
_atom_site_label
_atom_site_type_symbol
_atom_site_fract_x
_atom_site_fract_y
_atom_site_fract_z
Rb1 Rb 0.1724 0.3276 0.2500
Rb2 Rb 0.1724 0.3276 0.7500
Rb3 Rb 0.3276 0.8276 0.2500
Rb4 Rb 0.3276 0.8276 0.7500
Rb5 Rb 0.6724 0.1724 0.2500
Rb6 Rb 0.6724 0.1724 0.7500
Rb7 Rb 0.8276 0.6724 0.2500
Rb8 Rb 0.8276 0.6724 0.7500
In1 In 0.0000 0.0000 0.0000
In2 In 0.5000 0.5000 0.5000
Cl1 Cl 0.0000 0.0000 0.2918
Cl2 Cl 0.0000 0.0000 0.7082
Cl3 Cl 0.0936 0.6983 0.0000
Cl4 Cl 0.1983 0.5936 0.5000
Cl5 Cl 0.3017 0.0936 0.0000
Cl6 Cl 0.4064 0.1983 0.5000
Cl7 Cl 0.5000 0.5000 0.2082
Cl8 Cl 0.5000 0.5000 0.7918
Cl9 Cl 0.5936 0.8017 0.5000
Cl10 Cl 0.6983 0.9064 0.0000
Cl11 Cl 0.8017 0.4064 0.5000
Cl12 Cl 0.9064 0.3017 0.0000